[1]
Compound: SrSnO3
Source: the Alexandria database
Functional: GGA-PBE
Structure: relaxed

## Properties
The value obtained for the raw total energy is -6.255 eV/atom. Its raw formation energy is -2.14 eV per atom. Its density of states at the Fermi level is 0.0 states/eV per cell. As for the space group: C2/m (12).

Geometry as CIF:
```
data_SrSnO3
_chemical_formula_sum 'Sr2 Sn2 O6'
_cell_length_a 6.129
_cell_length_b 6.129
_cell_length_c 6.778
_cell_angle_alpha 95.76
_cell_angle_beta 95.76
_cell_angle_gamma 37.73
_space_group_name_H-M_alt 'P 1'
_space_group_IT_number 1
_space_group_name_Hall 'P 1'
loop_
_atom_site_label
_atom_site_fract_x
_atom_site_fract_y
_atom_site_fract_z
Sr1 0.131 0.131 0.375
Sr2 0.869 0.869 0.625
Sn1 0.371 0.371 0.088
Sn2 0.629 0.629 0.912
O1 0.177 0.177 0.981
O2 0.339 0.339 0.376
O3 0.449 0.449 0.818
O4 0.551 0.551 0.182
O5 0.661 0.661 0.624
O6 0.823 0.823 0.019
```

[2]
Compound: SrSn3O
Source: the Alexandria database
Functional: GGA-PBE
Structure: relaxed

## Properties
The value obtained for the raw total energy is -4.239 eV/atom. Its raw formation energy is -0.51 eV per atom. Its distance to the lowest polymorph of the same formula is 0 meV/atom. Its density of states at the Fermi level is 2.6 states/eV per cell. As for the space group: Pm-3m (221).

Geometry as CIF:
```
data_SrSn3O
_chemical_formula_sum 'Sr1 Sn3 O1'
_cell_length_a 4.979
_cell_length_b 4.979
_cell_length_c 4.979
_cell_angle_alpha 90.00
_cell_angle_beta 90.00
_cell_angle_gamma 90.00
_space_group_name_H-M_alt 'P 1'
_space_group_IT_number 1
_space_group_name_Hall 'P 1'
loop_
_atom_site_label
_atom_site_fract_x
_atom_site_fract_y
_atom_site_fract_z
Sr1 0.000 0.000 0.000
Sn1 0.000 0.500 0.500
Sn2 0.500 0.000 0.500
Sn3 0.500 0.500 0.000
O1 0.500 0.500 0.500
```

[3]
Compound: SrSnO3
Source: the Alexandria database
Functional: GGA-PBE
Structure: relaxed

## Properties
The value obtained for the raw total energy is -6.012 eV/atom. Its raw formation energy is -1.90 eV per atom. Its density of states at the Fermi level is 0.0 states/eV per cell. As for the space group: Amm2 (38).

Geometry as CIF:
```
data_SrSnO3
_chemical_formula_sum 'Sr1 Sn1 O3'
_cell_length_a 3.212
_cell_length_b 6.271
_cell_length_c 6.271
_cell_angle_alpha 65.59
_cell_angle_beta 90.00
_cell_angle_gamma 90.00
_space_group_name_H-M_alt 'P 1'
_space_group_IT_number 1
_space_group_name_Hall 'P 1'
loop_
_atom_site_label
_atom_site_fract_x
_atom_site_fract_y
_atom_site_fract_z
Sr1 0.000 0.000 0.000
Sn1 0.500 0.340 0.340
O1 0.000 0.189 0.576
O2 0.000 0.576 0.189
O3 0.500 0.153 0.153
```

[4]
Compound: SrSnO3
Source: the Alexandria database
Functional: GGA-PBE
Structure: relaxed

## Properties
The value obtained for the raw total energy is -6.189 eV/atom. Its raw formation energy is -2.08 eV per atom. Its density of states at the Fermi level is 0.0 states/eV per cell. As for the space group: Cmcm (63).

Geometry as CIF:
```
data_SrSnO3
_chemical_formula_sum 'Sr2 Sn2 O6'
_cell_length_a 6.250
_cell_length_b 6.250
_cell_length_c 6.190
_cell_angle_alpha 90.00
_cell_angle_beta 90.00
_cell_angle_gamma 141.93
_space_group_name_H-M_alt 'P 1'
_space_group_IT_number 1
_space_group_name_Hall 'P 1'
loop_
_atom_site_label
_atom_site_fract_x
_atom_site_fract_y
_atom_site_fract_z
Sr1 0.197 0.803 0.750
Sr2 0.803 0.197 0.250
Sn1 0.483 0.517 0.750
Sn2 0.517 0.483 0.250
O1 0.009 0.991 0.250
O2 0.373 0.627 0.018
O3 0.373 0.627 0.482
O4 0.627 0.373 0.518
O5 0.627 0.373 0.982
O6 0.991 0.009 0.750
```

[5]
Compound: Sr2SnO2
Source: the Alexandria database
Functional: GGA-PBE
Structure: relaxed

## Properties
The value obtained for the raw total energy is -5.241 eV/atom. Its raw formation energy is -1.78 eV per atom. Its distance to the lowest polymorph of the same formula is 0 meV/atom. Its density of states at the Fermi level is 1.5 states/eV per cell. As for the space group: I4/mmm (139).

Geometry as CIF:
```
data_Sr2SnO2
_chemical_formula_sum 'Sr2 Sn1 O2'
_cell_length_a 6.557
_cell_length_b 6.557
_cell_length_c 6.557
_cell_angle_alpha 135.82
_cell_angle_beta 135.82
_cell_angle_gamma 64.26
_space_group_name_H-M_alt 'P 1'
_space_group_IT_number 1
_space_group_name_Hall 'P 1'
loop_
_atom_site_label
_atom_site_fract_x
_atom_site_fract_y
_atom_site_fract_z
Sr1 0.250 0.750 0.500
Sr2 0.750 0.250 0.500
Sn1 0.000 0.000 0.000
O1 0.213 0.213 0.000
O2 0.787 0.787 0.000
```

[6]
Compound: SrSnO3
Source: the Alexandria database
Functional: GGA-PBE
Structure: relaxed

## Properties
The value obtained for the raw total energy is -6.312 eV/atom. Its raw formation energy is -2.20 eV per atom. Its density of states at the Fermi level is 0.0 states/eV per cell. As for the space group: R-3 (148).

Geometry as CIF:
```
data_SrSnO3
_chemical_formula_sum 'Sr2 Sn2 O6'
_cell_length_a 6.364
_cell_length_b 6.364
_cell_length_c 6.364
_cell_angle_alpha 53.03
_cell_angle_beta 53.03
_cell_angle_gamma 53.03
_space_group_name_H-M_alt 'P 1'
_space_group_IT_number 1
_space_group_name_Hall 'P 1'
loop_
_atom_site_label
_atom_site_fract_x
_atom_site_fract_y
_atom_site_fract_z
Sr1 0.133 0.133 0.133
Sr2 0.867 0.867 0.867
Sn1 0.342 0.342 0.342
Sn2 0.658 0.658 0.658
O1 0.058 0.474 0.688
O2 0.312 0.942 0.526
O3 0.474 0.688 0.058
O4 0.526 0.312 0.942
O5 0.688 0.058 0.474
O6 0.942 0.526 0.312
```

[7]
Compound: SrSn3O
Source: the Alexandria database
Functional: GGA-PBE
Structure: relaxed

## Properties
The value obtained for the raw total energy is -2.338 eV/atom. Its raw formation energy is 1.39 eV per atom. Its distance to the lowest polymorph of the same formula is 1901 meV/atom. Its density of states at the Fermi level is 10.0 states/eV per cell. As for the space group: Pm-3m (221).

Geometry as CIF:
```
data_SrSn3O
_chemical_formula_sum 'Sr1 Sn3 O1'
_cell_length_a 6.159
_cell_length_b 6.159
_cell_length_c 6.159
_cell_angle_alpha 90.00
_cell_angle_beta 90.00
_cell_angle_gamma 90.00
_space_group_name_H-M_alt 'P 1'
_space_group_IT_number 1
_space_group_name_Hall 'P 1'
loop_
_atom_site_label
_atom_site_fract_x
_atom_site_fract_y
_atom_site_fract_z
Sr1 0.000 0.000 0.000
Sn1 0.000 0.000 0.500
Sn2 0.000 0.500 0.000
Sn3 0.500 0.000 0.000
O1 0.500 0.500 0.500
```

[8]
Compound: SrSnO3
Source: the Alexandria database
Functional: GGA-PBE
Structure: relaxed

## Properties
The value obtained for the raw total energy is -6.101 eV/atom. Its raw formation energy is -1.99 eV per atom. Its density of states at the Fermi level is 0.5 states/eV per cell. As for the space group: Fd-3m (227).

Geometry as CIF:
```
data_SrSnO3
_chemical_formula_sum 'Sr4 Sn4 O12'
_cell_length_a 7.593
_cell_length_b 7.593
_cell_length_c 7.593
_cell_angle_alpha 60.00
_cell_angle_beta 60.00
_cell_angle_gamma 60.00
_space_group_name_H-M_alt 'P 1'
_space_group_IT_number 1
_space_group_name_Hall 'P 1'
loop_
_atom_site_label
_atom_site_fract_x
_atom_site_fract_y
_atom_site_fract_z
Sr1 0.000 0.000 0.000
Sr2 0.000 0.000 0.500
Sr3 0.000 0.500 0.000
Sr4 0.500 0.000 0.000
Sn1 0.000 0.500 0.500
Sn2 0.500 0.000 0.500
Sn3 0.500 0.500 0.000
Sn4 0.500 0.500 0.500
O1 0.165 0.165 0.585
O2 0.165 0.585 0.165
O3 0.165 0.585 0.585
O4 0.415 0.415 0.835
O5 0.415 0.835 0.415
O6 0.415 0.835 0.835
O7 0.585 0.165 0.165
O8 0.585 0.165 0.585
O9 0.585 0.585 0.165
O10 0.835 0.415 0.415
O11 0.835 0.415 0.835
O12 0.835 0.835 0.415
```